Entry 1:
First-principles (PBE) data for crystalline Ac6Se5S at its relaxed geometry, as listed in Alexandria via LeMat-Bulk.

Calculated values
Formation energy from raw total energies = -1890.0 meV per atom
ρ = 8.00 g cm⁻³

abc: 7.6966 7.6966 7.6908
angles: 99.66 99.66 120.08
Element x y z (fractional)
1 Ac 0.0812 0.4061 0.7428
2 Ac 0.2436 0.2436 0.2551
3 Ac 0.4061 0.0812 0.7428
4 Ac 0.5939 0.9188 0.2572
5 Ac 0.7564 0.7564 0.7449
6 Ac 0.9188 0.5939 0.2572
7 Se 0.1703 0.8297 0.0000
8 Se 0.3337 0.6663 0.5000
9 Se 0.5000 0.5000 0.0000
10 Se 0.6663 0.3337 0.5000
11 Se 0.8297 0.1703 0.0000
12 S 0.0000 0.0000 0.5000

---

Entry 2:
First-principles (PBE) data for crystalline Ac8SeS6 at its relaxed geometry, as listed in Alexandria via LeMat-Bulk.

Calculated values
Formation energy from raw total energies = -1563.7 meV per atom
ρ = 7.39 g cm⁻³

abc: 11.1115 11.1115 4.3895
angles: 90.00 90.00 120.00
Element x y z (fractional)
1 Ac 0.0404 0.7083 0.2588
2 Ac 0.2917 0.3321 0.2588
3 Ac 0.3321 0.0404 0.7412
4 Ac 0.3333 0.6667 0.7484
5 Ac 0.6667 0.3333 0.2516
6 Ac 0.6679 0.9596 0.2588
7 Ac 0.7083 0.6679 0.7412
8 Ac 0.9596 0.2917 0.7412
9 Se 0.0000 0.0000 0.5000
10 S 0.1317 0.4878 0.2473
11 S 0.3561 0.8683 0.2473
12 S 0.4878 0.3561 0.7527
13 S 0.5122 0.6439 0.2473
14 S 0.6439 0.1317 0.7527
15 S 0.8683 0.5122 0.7527

---

Entry 3:
First-principles (PBE) data for crystalline Ac3Se2S at its relaxed geometry, as listed in Alexandria via LeMat-Bulk.

Calculated values
Formation energy from raw total energies = -1915.0 meV per atom
ρ = 7.93 g cm⁻³

abc: 7.6396 7.6396 7.6608
angles: 99.60 99.60 120.07
Element x y z (fractional)
1 Ac 0.0794 0.4202 0.7611
2 Ac 0.2384 0.2384 0.2372
3 Ac 0.4202 0.0794 0.7611
4 Ac 0.5798 0.9206 0.2389
5 Ac 0.7616 0.7616 0.7628
6 Ac 0.9206 0.5798 0.2389
7 Se 0.0000 0.0000 0.5000
8 Se 0.3364 0.6636 0.5000
9 Se 0.5000 0.5000 0.0000
10 Se 0.6636 0.3364 0.5000
11 S 0.1671 0.8329 0.0000
12 S 0.8329 0.1671 0.0000

---

Number 1: final energy -0.2109 Ha/atom. Number 2: final energy -0.2072 Ha/atom. Number 3: final energy -0.2138 Ha/atom.